[1]
VASP calculation (PBE) on a relaxed structure of As2Ru3.

Calculated values
offset from the most stable computed form	0	meV per atom
calculated volume	151.58	Å³/cell
N(E_F)	0.31	states/eV/atom
calculated density	9.93	g/cm3

Lattice parameters (Å, degrees): 6.1693 6.0123 7.8989 50.45 48.72 80.83
Fractional positions:
As: 0.0266 0.4734 0.1041
As: 0.1459 0.8541 0.2234
As: 0.4734 0.0266 0.3959
As: 0.8541 0.1459 0.7766
Ru: 0.0024 0.0024 0.4976
Ru: 0.0966 0.4388 0.7770
Ru: 0.4388 0.0966 0.6876
Ru: 0.4730 0.5624 0.1534
Ru: 0.5624 0.4730 0.8112
Ru: 0.7524 0.7524 0.2476

---

[2]
VASP calculation (PBE) on a relaxed structure of ThAlHg.

Calculated values
offset from the most stable computed form	111	meV per atom
calculated volume	149.09	Å³/cell
N(E_F)	0.71	states/eV/atom
calculated density	10.24	g/cm3

Lattice parameters (Å, degrees): 6.3676 6.3676 5.7997 96.15 96.15 39.65
Fractional positions:
Th: 0.1160 0.1160 0.3334
Th: 0.8840 0.8840 0.6666
Al: 0.2234 0.2234 0.8527
Al: 0.7766 0.7766 0.1473
Hg: 0.4172 0.4172 0.1992
Hg: 0.5828 0.5828 0.8008

---

[3]
VASP calculation (PBE) on a relaxed structure of LaPm3Pr4S8.

Calculated values
calculated volume	385.96	Å³/cell
E_form (uncorrected)	-2.04	eV/atom
N(E_F)	0.55	states/eV/atom
calculated density	6.00	g/cm3

Lattice parameters (Å, degrees): 8.1754 8.1754 8.1754 59.95 59.95 59.95
Fractional positions:
La: 0.0000 0.0000 0.0000
Pm: 0.0000 0.5000 0.5000
Pm: 0.5000 0.0000 0.5000
Pm: 0.5000 0.5000 0.0000
Pr: 0.0000 0.0000 0.5000
Pr: 0.0000 0.5000 0.0000
Pr: 0.5000 0.0000 0.0000
Pr: 0.5000 0.5000 0.5000
S: 0.2504 0.2504 0.7450
S: 0.2504 0.7450 0.2504
S: 0.2523 0.2523 0.2523
S: 0.2550 0.7496 0.7496
S: 0.7450 0.2504 0.2504
S: 0.7477 0.7477 0.7477
S: 0.7496 0.2550 0.7496
S: 0.7496 0.7496 0.2550

---

[4]
VASP calculation (PBE) on a relaxed structure of ReSiP2.

Calculated values
calculated volume	60.44	Å³/cell
E_form (uncorrected)	0.51	eV/atom
N(E_F)	0.55	states/eV/atom
calculated density	7.59	g/cm3

Lattice parameters (Å, degrees): 2.7913 2.7913 8.7335 90.00 90.00 117.35
Fractional positions:
Re: 0.0000 0.0000 0.0000
Si: 0.0000 0.0000 0.5000
P: 0.5000 0.5000 0.2261
P: 0.5000 0.5000 0.7739

---

[5]
VASP calculation (PBE) on a relaxed structure of LiPr3Be2Pd9.

Calculated values
electronic total energy	-5.30	eV/atom
calculated volume	267.25	Å³/cell
N(E_F)	0.26	states/eV/atom
calculated density	8.73	g/cm3

Lattice parameters (Å, degrees): 6.5544 6.5544 7.1833 90.00 90.00 120.00
Fractional positions:
Li: 0.0000 0.0000 0.0000
Pr: 0.0000 0.0000 0.5000
Pr: 0.3333 0.6667 0.1670
Pr: 0.6667 0.3333 0.8330
Be: 0.3333 0.6667 0.6607
Be: 0.6667 0.3333 0.3393
Pd: 0.0000 0.5000 0.5000
Pd: 0.1730 0.3460 0.8298
Pd: 0.1730 0.8270 0.8298
Pd: 0.3460 0.1730 0.1702
Pd: 0.5000 0.0000 0.5000
Pd: 0.5000 0.5000 0.5000
Pd: 0.6540 0.8270 0.8298
Pd: 0.8270 0.1730 0.1702
Pd: 0.8270 0.6540 0.1702

---

[6]
VASP calculation (PBE) on a relaxed structure of ReNiP2C.

Calculated values
offset from the most stable computed form	198	meV per atom
calculated volume	67.66	Å³/cell
N(E_F)	0.80	states/eV/atom
calculated density	7.83	g/cm3

Lattice parameters (Å, degrees): 4.4658 4.4658 3.3924 90.00 90.00 90.00
Fractional positions:
Re: 0.0000 0.0000 0.0000
Ni: 0.5000 0.5000 0.5000
P: 0.0000 0.5000 0.5000
P: 0.5000 0.0000 0.5000
C: 0.5000 0.5000 0.0000

---

[7]
VASP calculation (PBE) on a relaxed structure of Mn6GaPd12.

Calculated values
electronic total energy	-6.22	eV/atom
calculated volume	275.43	Å³/cell
N(E_F)	0.83	states/eV/atom
calculated density	10.11	g/cm3

Lattice parameters (Å, degrees): 6.5912 6.5912 6.5912 98.65 98.65 98.65
Fractional positions:
Mn: 0.0165 0.7915 0.2104
Mn: 0.2085 0.7896 0.9835
Mn: 0.2104 0.0165 0.7915
Mn: 0.7896 0.9835 0.2085
Mn: 0.7915 0.2104 0.0165
Mn: 0.9835 0.2085 0.7896
Ga: 0.5000 0.5000 0.5000
Pd: 0.1464 0.4388 0.1640
Pd: 0.1640 0.1464 0.4388
Pd: 0.1671 0.6394 0.5880
Pd: 0.3606 0.4120 0.8329
Pd: 0.4120 0.8329 0.3606
Pd: 0.4388 0.1640 0.1464
Pd: 0.5612 0.8360 0.8536
Pd: 0.5880 0.1671 0.6394
Pd: 0.6394 0.5880 0.1671
Pd: 0.8329 0.3606 0.4120
Pd: 0.8360 0.8536 0.5612
Pd: 0.8536 0.5612 0.8360

---

[8]
VASP calculation (PBE) on a relaxed structure of Ni5IrRh8.

Calculated values
electronic total energy	-6.59	eV/atom
calculated volume	194.71	Å³/cell
N(E_F)	1.93	states/eV/atom
calculated density	11.16	g/cm3

Lattice parameters (Å, degrees): 6.3247 6.3247 6.3247 110.03 110.03 108.37
Fractional positions:
Ni: 0.0000 0.0000 0.0000
Ni: 0.2982 0.6236 0.0925
Ni: 0.3764 0.4689 0.6746
Ni: 0.5311 0.2057 0.9075
Ni: 0.7943 0.7018 0.3254
Ir: 0.7500 0.2500 0.5000
Rh: 0.0075 0.4134 0.2608
Rh: 0.0840 0.1552 0.7288
Rh: 0.1525 0.7466 0.7392
Rh: 0.2534 0.9925 0.4059
Rh: 0.4263 0.3552 0.2712
Rh: 0.5866 0.8475 0.5941
Rh: 0.6448 0.9160 0.0712
Rh: 0.8448 0.5737 0.9288

---

[9]
VASP calculation (PBE) on a relaxed structure of SrCr3Pd.

Calculated values
offset from the most stable computed form	0	meV per atom
calculated volume	127.13	Å³/cell
N(E_F)	0.89	states/eV/atom
calculated density	4.57	g/cm3

Lattice parameters (Å, degrees): 5.0282 5.0282 5.0282 90.00 90.00 90.00
Fractional positions:
Sr: 0.0000 0.0000 0.0000
Cr: 0.0000 0.5000 0.5000
Cr: 0.5000 0.0000 0.5000
Cr: 0.5000 0.5000 0.0000
Pd: 0.5000 0.5000 0.5000

---

[10]
VASP calculation (PBE) on a relaxed structure of HoEr2Cd.

Calculated values
offset from the most stable computed form	79	meV per atom
calculated volume	117.37	Å³/cell
N(E_F)	1.45	states/eV/atom
calculated density	8.66	g/cm3

Lattice parameters (Å, degrees): 10.8111 10.8111 10.8111 19.03 19.03 19.03
Fractional positions:
Ho: 0.0000 0.0000 0.0000
Er: 0.2446 0.2446 0.2446
Er: 0.4220 0.4220 0.4220
Cd: 0.8335 0.8335 0.8335

---

[11]
VASP calculation (PBE) on a relaxed structure of Hg2BBr.

Calculated values
offset from the most stable computed form	694	meV per atom
calculated volume	98.73	Å³/cell
E_form (uncorrected)	1.13	eV/atom
N(E_F)	0.14	states/eV/atom
calculated density	8.27	g/cm3

Lattice parameters (Å, degrees): 5.1879 5.1879 5.1879 60.00 60.00 60.00
Fractional positions:
Hg: 0.2500 0.2500 0.2500
Hg: 0.7500 0.7500 0.7500
B: 0.0000 0.0000 0.0000
Br: 0.5000 0.5000 0.5000

---

[12]
VASP calculation (PBE) on a relaxed structure of CaAc2GaO6.

Calculated values
calculated volume	159.06	Å³/cell
E_form (uncorrected)	-2.59	eV/atom
N(E_F)	0.82	states/eV/atom
calculated density	6.89	g/cm3

Lattice parameters (Å, degrees): 5.5925 5.5925 5.0856 90.00 90.00 90.00
Fractional positions:
Ca: 0.0000 0.0000 0.0000
Ac: 0.0000 0.5000 0.4473
Ac: 0.5000 0.0000 0.4473
Ga: 0.5000 0.5000 0.0140
O: 0.0000 0.0000 0.5555
O: 0.2668 0.2668 0.1451
O: 0.2668 0.7332 0.1451
O: 0.5000 0.5000 0.6446
O: 0.7332 0.2668 0.1451
O: 0.7332 0.7332 0.1451

---

[13]
VASP calculation (PBE) on a relaxed structure of Th2FeSe.

Calculated values
offset from the most stable computed form	0	meV per atom
calculated volume	100.91	Å³/cell
E_form (uncorrected)	-0.79	eV/atom
N(E_F)	0.39	states/eV/atom
calculated density	9.85	g/cm3

Lattice parameters (Å, degrees): 7.6595 7.6595 7.6595 30.23 30.23 30.23
Fractional positions:
Th: 0.2354 0.2354 0.2354
Th: 0.7646 0.7646 0.7646
Fe: 0.5000 0.5000 0.5000
Se: 0.0000 0.0000 0.0000

---

[14]
VASP calculation (PBE) on a relaxed structure of Li4CeY3S8.

Calculated values
calculated volume	334.36	Å³/cell
E_form (uncorrected)	-1.81	eV/atom
N(E_F)	0.39	states/eV/atom
calculated density	3.43	g/cm3

Lattice parameters (Å, degrees): 7.6835 7.6835 7.6835 61.90 61.90 61.90
Fractional positions:
Li: 0.0000 0.0000 0.0000
Li: 0.0000 0.5000 0.5000
Li: 0.5000 0.0000 0.5000
Li: 0.5000 0.5000 0.0000
Ce: 0.5000 0.5000 0.5000
Y: 0.0000 0.0000 0.5000
Y: 0.0000 0.5000 0.0000
Y: 0.5000 0.0000 0.0000
S: 0.2448 0.7542 0.7542
S: 0.2458 0.2458 0.7552
S: 0.2458 0.7552 0.2458
S: 0.2503 0.2503 0.2503
S: 0.7497 0.7497 0.7497
S: 0.7542 0.2448 0.7542
S: 0.7542 0.7542 0.2448
S: 0.7552 0.2458 0.2458

---

[15]
VASP calculation (PBE) on a relaxed structure of Ba3AcDy2Te6.

Calculated values
calculated volume	445.45	Å³/cell
E_form (uncorrected)	-1.55	eV/atom
N(E_F)	0.45	states/eV/atom
calculated density	6.45	g/cm3

Lattice parameters (Å, degrees): 8.0814 8.0814 8.3231 99.36 99.36 119.94
Fractional positions:
Ba: 0.0000 0.0000 0.0000
Ba: 0.3395 0.6605 0.0000
Ba: 0.6605 0.3395 0.0000
Ac: 0.5000 0.5000 0.5000
Dy: 0.1682 0.8318 0.5000
Dy: 0.8318 0.1682 0.5000
Te: 0.0758 0.4254 0.2769
Te: 0.2223 0.2223 0.7171
Te: 0.4254 0.0758 0.2769
Te: 0.5746 0.9242 0.7231
Te: 0.7777 0.7777 0.2829
Te: 0.9242 0.5746 0.7231

---

[16]
VASP calculation (PBE) on a relaxed structure of AlCrRe.

Calculated values
offset from the most stable computed form	804	meV per atom
calculated volume	216.35	Å³/cell
N(E_F)	0.87	states/eV/atom
calculated density	8.14	g/cm3

Lattice parameters (Å, degrees): 5.0820 5.0820 9.5790 90.00 90.00 60.99
Fractional positions:
Al: 0.2398 0.2398 0.0000
Al: 0.2602 0.2602 0.5000
Al: 0.7398 0.7398 0.5000
Al: 0.7602 0.7602 0.0000
Cr: 0.1870 0.8130 0.8134
Cr: 0.3130 0.6870 0.3134
Cr: 0.6870 0.3130 0.6866
Cr: 0.8130 0.1870 0.1866
Re: 0.2241 0.7759 0.5675
Re: 0.2759 0.7241 0.0675
Re: 0.7241 0.2759 0.9325
Re: 0.7759 0.2241 0.4325

---

[17]
VASP calculation (PBE) on a relaxed structure of LiPCl2.

Calculated values
offset from the most stable computed form	0	meV per atom
calculated volume	77.27	Å³/cell
E_form (uncorrected)	-0.66	eV/atom
N(E_F)	0.19	states/eV/atom
calculated density	2.34	g/cm3

Lattice parameters (Å, degrees): 7.9331 7.9331 7.9331 24.80 24.80 24.80
Fractional positions:
Li: 0.0000 0.0000 0.0000
P: 0.5000 0.5000 0.5000
Cl: 0.3978 0.3978 0.3978
Cl: 0.6022 0.6022 0.6022

---

[18]
VASP calculation (PBE) on a relaxed structure of CeYTmPa.

Calculated values
electronic total energy	-6.23	eV/atom
calculated volume	119.05	Å³/cell
N(E_F)	2.75	states/eV/atom
calculated density	8.77	g/cm3

Lattice parameters (Å, degrees): 5.5218 5.5218 5.5218 60.00 60.00 60.00
Fractional positions:
Ce: 0.0000 0.0000 0.0000
Y: 0.5000 0.5000 0.5000
Tm: 0.7500 0.7500 0.7500
Pa: 0.2500 0.2500 0.2500

---

[19]
VASP calculation (PBE) on a relaxed structure of V6OsRh.

Calculated values
electronic total energy	-9.46	eV/atom
calculated volume	107.93	Å³/cell
N(E_F)	0.57	states/eV/atom
calculated density	9.21	g/cm3

Lattice parameters (Å, degrees): 4.2324 5.1978 5.1978 70.72 90.00 90.00
Fractional positions:
V: 0.0000 0.0000 0.0000
V: 0.0000 0.5117 0.9925
V: 0.0000 0.9925 0.5117
V: 0.5000 0.2470 0.7549
V: 0.5000 0.7522 0.7522
V: 0.5000 0.7549 0.2470
Os: 0.0000 0.5014 0.5014
Rh: 0.5000 0.2504 0.2504

---

[20]
VASP calculation (PBE) on a relaxed structure of Sr6GaAu2.

Calculated values
electronic total energy	-2.63	eV/atom
calculated volume	330.91	Å³/cell
N(E_F)	0.76	states/eV/atom
calculated density	4.96	g/cm3

Lattice parameters (Å, degrees): 10.9903 8.8061 7.6569 83.45 52.75 43.80
Fractional positions:
Sr: 0.0402 0.2964 0.7036
Sr: 0.2964 0.0402 0.9598
Sr: 0.3686 0.6314 0.3686
Sr: 0.6314 0.3686 0.6314
Sr: 0.7036 0.9598 0.0402
Sr: 0.9598 0.7036 0.2964
Ga: 0.0000 0.0000 0.0000
Au: 0.3383 0.3383 0.6617
Au: 0.6617 0.6617 0.3383